1.
Here is Ta2CoOs after structural relaxation from Alexandria. Energies are from GGA-PBE.

Summary:
The calculation puts the energy at -10.091 eV per atom.

a = 6.904 Å, b = 6.904 Å, c = 5.601 Å
α = 51.95°, β = 51.95°, γ = 90.00°
Fractional coordinates of all 8 atoms:
Co  0.500  0.500  0.000
Co  0.250  0.750  0.500
Os  0.000  0.000  0.000
Os  0.750  0.250  0.500
Ta  0.611  0.125  0.250
Ta  0.139  0.625  0.250
Ta  0.375  0.389  0.750
Ta  0.875  0.861  0.750


2.
Here is TaCo2Os after structural relaxation from Alexandria. Energies are from GGA-PBE.

Summary:
The calculation puts the energy at -8.820 eV per atom.

a = 3.685 Å, b = 3.685 Å, c = 9.105 Å
α = 78.33°, β = 78.33°, γ = 90.00°
Site moments in Bohr magnetons follow the coordinates.
Fractional coordinates of all 8 atoms:
Co  0.648  0.125  0.250  0.82
Co  0.102  0.625  0.250  0.82
Co  0.375  0.352  0.750  0.85
Co  0.875  0.898  0.750  0.85
Os  0.000  0.000  0.000  0.07
Os  0.750  0.250  0.500  0.07
Ta  0.500  0.500  0.000  -0.09
Ta  0.250  0.750  0.500  -0.09


3.
Here is TaCo2Os after structural relaxation from Alexandria. Energies are from GGA-PBE.

Summary:
The calculation puts the energy at -9.468 eV per atom.

a = 4.584 Å, b = 4.584 Å, c = 4.584 Å
α = 131.57°, β = 131.56°, γ = 70.92°
Fractional coordinates of all 4 atoms:
Co  0.000  0.000  0.000
Co  0.500  0.500  0.000
Os  0.250  0.750  0.500
Ta  0.750  0.250  0.500


4.
Here is Ta5Co12Os3 after structural relaxation from Alexandria. Energies are from GGA-PBE.

Summary:
The calculation puts the energy at -8.096 eV per atom.

a = 11.890 Å, b = 11.890 Å, c = 11.890 Å
α = 109.47°, β = 109.47°, γ = 109.47°
Fractional coordinates of all 80 atoms:
Os  0.750  0.375  0.125
Os  0.875  0.750  0.125
Os  0.375  0.750  0.625
Os  0.250  0.125  0.375
Os  0.875  0.125  0.250
Os  0.375  0.625  0.250
Os  0.625  0.375  0.750
Os  0.125  0.875  0.750
Os  0.750  0.875  0.625
Os  0.625  0.250  0.375
Os  0.125  0.250  0.875
Os  0.250  0.625  0.875
Ta  0.125  0.375  0.250
Ta  0.000  0.500  0.000
Ta  0.000  0.000  0.000
Ta  0.375  0.250  0.125
Ta  0.500  0.000  0.500
Ta  0.500  0.500  0.000
Ta  0.125  0.750  0.375
Ta  0.750  0.125  0.875
Ta  0.750  0.625  0.375
Ta  0.375  0.125  0.750
Ta  0.625  0.875  0.250
Ta  0.500  0.500  0.500
Ta  0.500  0.000  0.000
Ta  0.000  0.000  0.500
Ta  0.250  0.375  0.625
Ta  0.250  0.875  0.125
Ta  0.000  0.500  0.500
Ta  0.875  0.250  0.625
Ta  0.625  0.750  0.875
Ta  0.875  0.625  0.750
Co  0.735  0.144  0.073
Co  0.338  0.573  0.429
Co  0.927  0.356  0.265
Co  0.573  0.235  0.144
Co  0.591  0.735  0.662
Co  0.927  0.571  0.162
Co  0.338  0.765  0.409
Co  0.071  0.909  0.144
Co  0.571  0.927  0.662
Co  0.735  0.591  0.162
Co  0.765  0.427  0.356
Co  0.838  0.929  0.073
Co  0.144  0.735  0.573
Co  0.356  0.429  0.091
Co  0.091  0.929  0.356
Co  0.409  0.144  0.571
Co  0.091  0.162  0.235
Co  0.427  0.662  0.071
Co  0.838  0.909  0.265
Co  0.144  0.409  0.071
Co  0.356  0.927  0.765
Co  0.571  0.644  0.409
Co  0.929  0.838  0.573
Co  0.765  0.338  0.909
Co  0.429  0.356  0.591
Co  0.071  0.162  0.427
Co  0.235  0.662  0.091
Co  0.162  0.091  0.735
Co  0.644  0.073  0.235
Co  0.856  0.591  0.929
Co  0.573  0.338  0.929
Co  0.591  0.856  0.429
Co  0.909  0.838  0.765
Co  0.909  0.071  0.644
Co  0.856  0.265  0.427
Co  0.162  0.071  0.927
Co  0.644  0.571  0.909
Co  0.429  0.073  0.338
Co  0.265  0.409  0.838
Co  0.235  0.573  0.644
Co  0.929  0.091  0.856
Co  0.662  0.235  0.591
Co  0.427  0.765  0.856
Co  0.073  0.429  0.838
Co  0.409  0.265  0.338
Co  0.073  0.644  0.735
Co  0.662  0.427  0.571
Co  0.265  0.856  0.927


5.
Here is Ta2CoOs after structural relaxation from Alexandria. Energies are from GGA-PBE.

Summary:
The calculation puts the energy at -10.709 eV per atom.

a = 4.441 Å, b = 4.441 Å, c = 4.441 Å
α = 60.00°, β = 60.00°, γ = 60.00°
Site moments in Bohr magnetons follow the coordinates.
Fractional coordinates of all 4 atoms:
Co  0.000  0.000  0.000  1.02
Os  0.500  0.500  0.500  0.08
Ta  0.250  0.250  0.250  0.03
Ta  0.750  0.750  0.750  0.03


6.
Here is TaCoOs4 after structural relaxation from Alexandria. Energies are from GGA-PBE.

Summary:
The calculation puts the energy at -10.251 eV per atom.

a = 5.108 Å, b = 5.108 Å, c = 5.108 Å
α = 60.00°, β = 60.00°, γ = 60.00°
Site moments in Bohr magnetons follow the coordinates.
Fractional coordinates of all 6 atoms:
Ta  0.750  0.750  0.750  -0.10
Co  0.000  0.000  0.000  1.86
Os  0.877  0.374  0.374  0.34
Os  0.374  0.374  0.877  0.34
Os  0.374  0.877  0.374  0.34
Os  0.374  0.374  0.374  0.34


7.
Here is TaCoOs2 after structural relaxation from Alexandria. Energies are from GGA-PBE.

Summary:
The calculation puts the energy at -10.389 eV per atom.

a = 4.718 Å, b = 4.718 Å, c = 4.718 Å
α = 131.62°, β = 131.62°, γ = 70.84°
Fractional coordinates of all 4 atoms:
Co  0.750  0.250  0.500
Os  0.000  0.000  0.000
Os  0.500  0.500  0.000
Ta  0.250  0.750  0.500


8.
Here is Ta6CoOs5 after structural relaxation from Alexandria. Energies are from GGA-PBE.

Summary:
The calculation puts the energy at -11.444 eV per atom.

a = 4.324 Å, b = 6.855 Å, c = 6.830 Å
α = 90.00°, β = 108.41°, γ = 90.00°
Site moments in Bohr magnetons follow the coordinates.
Fractional coordinates of all 12 atoms:
Os  0.668  0.500  0.335  0.03
Os  0.336  0.000  0.671  -0.01
Os  0.000  0.500  0.000  -0.01
Os  0.664  0.000  0.329  -0.01
Os  0.332  0.500  0.665  0.03
Co  0.000  0.000  0.000  1.14
Ta  0.835  0.751  0.671  0.02
Ta  0.835  0.249  0.671  0.02
Ta  0.500  0.244  0.000  0.05
Ta  0.500  0.756  0.000  0.05
Ta  0.165  0.751  0.329  0.02
Ta  0.165  0.249  0.329  0.02


Sequential ΔE_f output: 0.4196; 0.5031; -0.1445; 0.8154; -0.1986; 0.3949; -0.0346; -0.2467 eV/atom